1.
This record from the Alexandria database describes Pr3Er2Tl2 after structural relaxation. The functional is PBE.

DOS(E_F)   7.84 states/eV/cell
Volume   31.2 Å³ per atom
Formation energy from the elements   -0.107 eV per atom
Distance to the lowest polymorph of the same formula   77 meV per atom

abc: 5.0766 3.5953 12.2172
angles: 90.00 78.01 90.00
Last column: nearest neighbours and their distance in Å.
Positions (direct):
Er (0.7133, 0.5000, 0.5735)  2 Er 3.09, 1 Tl 3.34
Er (0.2867, 0.5000, 0.4265)  2 Er 3.09, 1 Tl 3.34
Pr (0.1464, 0.0000, 0.7071)  6 Er 3.50-3.80, 3 Pr 3.50-3.60, 4 Tl 3.57
Pr (0.0000, 0.0000, 0.0000)  4 Pr 3.50-3.60, 8 Tl 3.57
Pr (0.8536, 0.0000, 0.2929)  6 Er 3.50-3.80, 3 Pr 3.50-3.60, 4 Tl 3.57
Tl (0.4266, 0.5000, 0.1468)  1 Er 3.34, 3 Tl 3.51-3.60, 8 Pr 3.57
Tl (0.5734, 0.5000, 0.8532)  1 Er 3.34, 3 Tl 3.51-3.60, 8 Pr 3.57

=====

2.
This record from the Alexandria database describes PrErTm2Tl2 after structural relaxation. The functional is PBE.

DOS(E_F)   11.39 states/eV/cell
Volume   29.0 Å³ per atom
Formation energy from the elements   -0.256 eV per atom

abc: 5.1153 6.7963 10.0042
angles: 90.00 90.00 90.00
Last column: nearest neighbours and their distance in Å.
Positions (direct):
Pr (0.0000, 0.4576, 0.5416)  5 Tl 3.28-3.53, 2 Pr 3.50, 2 Er 3.53
Pr (0.0000, 0.9576, 0.4584)  5 Tl 3.28-3.53, 2 Pr 3.50, 2 Er 3.53
Tm (0.5000, 0.5504, 0.9566)  5 Tl 3.20-3.52, 4 Tm 3.50-3.51
Tm (0.5000, 0.0504, 0.0434)  5 Tl 3.20-3.52, 4 Tm 3.50-3.51
Tm (0.0000, 0.3382, 0.1808)  4 Tl 3.13-3.21, 2 Tm 3.50
Tm (0.0000, 0.8382, 0.8192)  4 Tl 3.13-3.21, 2 Tm 3.50
Tl (0.0000, 0.2978, 0.8691)  4 Tm 3.13-3.20, 2 Er 3.20, 1 Pr 3.45
Tl (0.0000, 0.7979, 0.1309)  4 Tm 3.13-3.20, 2 Er 3.20, 1 Pr 3.45
Tl (0.5000, 0.2216, 0.3579)  2 Er 3.16-3.38, 3 Tm 3.21-3.35, 4 Pr 3.28-3.53
Tl (0.5000, 0.7216, 0.6421)  2 Er 3.16-3.38, 3 Tm 3.21-3.35, 4 Pr 3.28-3.53
Er (0.5000, 0.6800, 0.3052)  4 Tl 3.16-3.38, 2 Pr 3.53
Er (0.5000, 0.1800, 0.6948)  4 Tl 3.16-3.38, 2 Pr 3.53

=====

3.
This record from the Alexandria database describes PrEr2TmTl4 after structural relaxation. The functional is PBE.

DOS(E_F)   6.07 states/eV/cell
Volume   27.7 Å³ per atom
Formation energy from the elements   -0.322 eV per atom

abc: 5.3808 5.3808 9.3732
angles: 73.32 73.32 60.00
Last column: nearest neighbours and their distance in Å.
Positions (direct):
Tl (0.3776, 0.3776, 0.8672)  1 Tm 3.25, 4 Er 3.28-3.41, 3 Pr 3.32
Tl (0.6224, 0.6224, 0.1328)  1 Tm 3.25, 4 Er 3.28-3.41, 3 Pr 3.32
Tl (0.1272, 0.1272, 0.6183)  4 Er 3.23-3.31, 3 Tm 3.28, 1 Pr 3.38
Tl (0.8728, 0.8728, 0.3817)  4 Er 3.23-3.31, 3 Tm 3.28, 1 Pr 3.38
Pr (0.0000, 0.0000, 0.0000)  8 Tl 3.32-3.38
Er (0.7509, 0.7509, 0.7472)  8 Tl 3.23-3.41
Er (0.2491, 0.2491, 0.2528)  8 Tl 3.23-3.41
Tm (0.5000, 0.5000, 0.5000)  8 Tl 3.25-3.28